Compound: Sc2TaBr
Source: Alexandria
Functional: PBE
Structure: optimized geometry Values from VASP.

```
&SYSTEM
  ibrav = 0, nat = 4, ntyp = 3
/
ATOMIC_SPECIES
Br 79.90 Br.upf
Sc 44.96 Sc.upf
Ta 180.95 Ta.upf
CELL_PARAMETERS angstrom
-3.2389 -2.9721 -2.2979
0.1812 -2.0928 2.4515
-3.8870 1.4347 3.6231
ATOMIC_POSITIONS angstrom
Br -4.6140 -1.4750 3.0576
Sc -3.4196 -0.7177 5.7482
Sc -2.8726 -1.5685 0.7241
Ta -1.5972 -0.8562 3.3587
```

## Properties
energy relative to the lowest polymorph listed for this composition: 0.261 eV per atom
E_form (uncorrected): -3.99 kJ per mole of atoms
calculated volume: 84.3 Å³/cell